Material: CsCoMoO4
Method: DFT, PBE+U
State: relaxed

Unit cell a=5.8159 b=5.7179 c=7.3816 alpha=90.00 beta=98.65 gamma=90.00
Fractional positions:
Cs1 0.2121 0.2500 0.0824
Cs2 0.7879 0.7500 0.9176
Co1 0.3895 0.2500 0.6390
Co2 0.6105 0.7500 0.3610
Mo1 0.1468 0.7500 0.4772
Mo2 0.8532 0.2500 0.5228
O1 0.1218 0.0224 0.6466
O2 0.1218 0.4776 0.6466
O3 0.2791 0.7500 0.2503
O4 0.4721 0.7500 0.5845
O5 0.5279 0.2500 0.4155
O6 0.7209 0.2500 0.7497
O7 0.8782 0.5224 0.3534
O8 0.8782 0.9776 0.3534

Calculated values
The calculation puts the density of states at the Fermi level at 0.00 states/eV per cell. The calculation puts the total energy at -6.109 eV/atom.